[1]
{"formula": "NdDy2Lu", "functional": "PBE", "state": "relaxed", "crystal_system": "tetragonal", "formation_energy_kj_per_mol_atoms": 2, "de_polymorph_kcal_per_mol_atoms": 0.000, "spacegroup": "P4/mmm, No. 123", "lattice_angstrom": [[5.056, 0.000, 0.000], [0.000, 5.014, 0.000], [0.000, 0.000, 5.014]], "species": ["Dy", "Dy", "Lu", "Nd"], "frac_coords": [[0.000, 0.000, 0.500], [0.000, 0.500, 0.000], [0.500, 0.500, 0.500], [0.500, 0.000, 0.000]]}


[2]
{"formula": "NdDy2Lu", "functional": "PBE", "state": "relaxed", "crystal_system": "tetragonal", "formation_energy_kj_per_mol_atoms": 3, "de_polymorph_kcal_per_mol_atoms": 0.060, "spacegroup": "P4/mmm, No. 123", "lattice_angstrom": [[-3.490, -0.616, 0.236], [0.633, -2.767, 2.136], [-0.530, 6.084, 8.039]], "species": ["Lu", "Dy", "Dy", "Nd"], "frac_coords": [[0.500, 0.500, 0.000], [0.000, 0.000, 0.757], [0.000, 0.000, 0.243], [0.500, 0.500, 0.500]]}


[3]
{"formula": "PrNdDyLu", "functional": "PBE", "state": "relaxed", "crystal_system": "cubic", "formation_energy_kj_per_mol_atoms": 9, "spacegroup": "F-43m, No. 216", "lattice_angstrom": [[5.729, 0.000, 0.000], [2.865, 4.962, 0.000], [2.865, 1.654, 4.678]], "species": ["Nd", "Dy", "Pr", "Lu"], "frac_coords": [[0.250, 0.250, 0.250], [0.500, 0.500, 0.500], [0.750, 0.750, 0.750], [0.000, 0.000, 0.000]]}